Entry from the Alexandria database: a relaxed structure of MgBe6Au6 (PBE).

Cell: 4.9160 4.9160 8.3817 Å, 90.00 90.00 120.00°
Fractional positions:
Mg: 0.0000 0.0000 0.0000
Be: 0.5000 0.0000 0.2456
Be: 0.0000 0.5000 0.2456
Be: 0.5000 0.5000 0.2455
Be: 0.0000 0.5000 0.7544
Be: 0.5000 0.0000 0.7544
Be: 0.5000 0.5000 0.7545
Au: 0.0000 0.0000 0.3270
Au: 0.0000 0.0000 0.6730
Au: 0.6667 0.3333 0.0000
Au: 0.3333 0.6667 0.0000
Au: 0.6667 0.3333 0.5000
Au: 0.3333 0.6667 0.5000

Results
E_form: -215 meV per atom
energy above the lowest structure with this stoichiometry: 0.0039 eV/atom



Entry from the Alexandria database: a relaxed structure of ZrPaGe2Rh5 (PBE).

Cell: 4.1231 4.1231 8.8698 Å, 90.00 90.00 90.00°
Fractional positions:
Zr: 0.0000 0.0000 0.5000
Pa: 0.0000 0.0000 0.0000
Ge: 0.5000 0.5000 0.1380
Ge: 0.5000 0.5000 0.8620
Rh: 0.0000 0.5000 0.2779
Rh: 0.5000 0.0000 0.2779
Rh: 0.0000 0.5000 0.7221
Rh: 0.5000 0.0000 0.7221
Rh: 0.5000 0.5000 0.5000

Results
E_form: -743 meV per atom



Entry from the Alexandria database: a relaxed structure of Ca2TbOsN4 (PBE).

Cell: 3.4236 5.9866 11.9470 Å, 90.00 90.00 106.61°
Fractional positions:
Ca: 0.3695 0.7391 0.5343
Ca: 0.6305 0.2609 0.0343
Ca: 0.6305 0.2609 0.4657
Ca: 0.3695 0.7391 0.9657
Tb: 0.1177 0.2355 0.7500
Tb: 0.8823 0.7645 0.2500
Os: 0.8510 0.7020 0.7500
Os: 0.1490 0.2980 0.2500
N: 0.2699 0.5398 0.1394
N: 0.7301 0.4602 0.6394
N: 0.7301 0.4602 0.8606
N: 0.2699 0.5398 0.3606
N: 0.0000 0.0000 0.5000
N: 0.0000 0.0000 0.0000
N: 0.4345 0.8690 0.7500
N: 0.5655 0.1310 0.2500

Results
energy relative to the elements, uncorrected: -0.546 eV per atom



Entry from the Alexandria database: a relaxed structure of Tb6PmSm3 (PBE).

Cell: 6.3263 10.9943 10.9943 Å, 119.80 90.00 90.00°
Fractional positions:
Tb: 0.0450 0.7112 0.6215
Tb: 0.5450 0.6215 0.7112
Tb: 0.3716 0.5320 0.9509
Tb: 0.8716 0.9509 0.5320
Tb: 0.3809 0.9594 0.0406
Tb: 0.6461 0.2760 0.7240
Tb: 0.1461 0.7240 0.2760
Tb: 0.8809 0.0406 0.9594
Tb: 0.3716 0.0491 0.4680
Tb: 0.8716 0.4680 0.0491
Tb: 0.0450 0.3785 0.2888
Tb: 0.5450 0.2888 0.3785
Pm: 0.1302 0.1978 0.8022
Pm: 0.6302 0.8022 0.1978
Sm: 0.4611 0.9384 0.7124
Sm: 0.9611 0.7124 0.9384
Sm: 0.0726 0.3878 0.6122
Sm: 0.5726 0.6122 0.3878
Sm: 0.9611 0.0616 0.2876
Sm: 0.4611 0.2876 0.0616

Results
E_form: 147 meV per atom
energy above the lowest structure with this stoichiometry: 0.0000 eV/atom



Entry from the Alexandria database: a relaxed structure of Zr2CuCl (PBE).

Cell: 5.5663 5.5663 7.3706 Å, 67.81 67.81 90.00°
Fractional positions:
Cu: 0.0000 0.0000 0.0000
Cu: 0.7500 0.2500 0.5000
Zr: 0.6336 0.1250 0.2500
Zr: 0.1164 0.6250 0.2500
Zr: 0.3750 0.3664 0.7500
Zr: 0.8750 0.8836 0.7500
Cl: 0.5000 0.5000 0.0000
Cl: 0.2500 0.7500 0.5000

Results
energy relative to the elements, uncorrected: 0.184 eV per atom
energy above the lowest structure with this stoichiometry: 0.5751 eV/atom



Entry from the Alexandria database: a relaxed structure of Sc2ReP2 (PBE).

Cell: 6.3779 6.3779 3.8422 Å, 90.00 90.00 90.00°
Fractional positions:
Sc: 0.1709 0.6709 0.5000
Sc: 0.6709 0.8291 0.5000
Sc: 0.8291 0.3291 0.5000
Sc: 0.3291 0.1709 0.5000
Re: 0.0000 0.0000 0.0000
Re: 0.5000 0.5000 0.0000
P: 0.3637 0.8637 0.0000
P: 0.8637 0.6363 0.0000
P: 0.6363 0.1363 0.0000
P: 0.1363 0.3637 0.0000

Results
E_form: -987 meV per atom



Entry from the Alexandria database: a relaxed structure of InFeOsRu2 (PBE).

Cell: 4.4279 4.4649 4.4279 Å, 90.00 90.00 90.00°
Fractional positions:
Ru: 0.0000 0.0000 0.5000
Ru: 0.5000 0.0000 0.0000
Os: 0.0000 0.5000 0.0000
Fe: 0.0000 0.0000 0.0000
In: 0.5000 0.5000 0.5000

Results
E_form: 1264 meV per atom



Entry from the Alexandria database: a relaxed structure of Al2SiNi (PBE).

Cell: 3.7119 3.5334 4.7652 Å, 68.35 90.00 90.00°
Fractional positions:
Ni: 0.0000 0.6989 0.4762
Si: 0.5000 0.5527 0.7705
Al: 0.0000 0.9783 0.9202
Al: 0.5000 0.2701 0.3331

Results
energy relative to the elements, uncorrected: -0.273 eV per atom
energy above the lowest structure with this stoichiometry: 0.0402 eV/atom



Entry from the Alexandria database: a relaxed structure of NaInSnSb (PBE).

Cell: 5.3798 5.3798 5.3798 Å, 60.00 60.00 60.00°
Fractional positions:
Sb: 0.2500 0.2500 0.2500
Na: 0.0000 0.0000 0.0000
Sn: 0.5000 0.5000 0.5000
In: 0.7500 0.7500 0.7500

Results
energy relative to the elements, uncorrected: -0.050 eV per atom



Entry from the Alexandria database: a relaxed structure of Li4Cd3Rh (PBE).

Cell: 4.5598 3.3585 9.5067 Å, 79.60 103.81 89.98°
Fractional positions:
Cd: 0.7669 0.2330 0.5344
Cd: 0.2331 0.7670 0.4656
Cd: 0.5000 0.5000 0.0000
Rh: 0.0000 0.0000 0.0000
Li: 0.8922 0.6072 0.7858
Li: 0.1078 0.3928 0.2142
Li: 0.3743 0.1262 0.7498
Li: 0.6257 0.8738 0.2502

Results
E_form: -187 meV per atom
energy above the lowest structure with this stoichiometry: 0.0267 eV/atom



Entry from the Alexandria database: a relaxed structure of Ba2BeCd2 (PBE).

Cell: 7.4406 7.4406 5.6346 Å, 90.00 90.00 90.00°
Fractional positions:
Be: 0.0000 0.0000 0.0000
Be: 0.5000 0.5000 0.0000
Ba: 0.1776 0.6776 0.5000
Ba: 0.6776 0.8224 0.5000
Ba: 0.8224 0.3224 0.5000
Ba: 0.3224 0.1776 0.5000
Cd: 0.3562 0.8562 0.0000
Cd: 0.8562 0.6438 0.0000
Cd: 0.6438 0.1438 0.0000
Cd: 0.1438 0.3562 0.0000

Results
E_form: 174 meV per atom



Entry from the Alexandria database: a relaxed structure of IrSeSN2 (PBE).

Cell: 3.7128 3.7128 6.2986 Å, 90.00 90.00 90.00°
Last column: magnetic moment on the atom in μB.
Fractional positions:
S: 0.0000 0.0000 0.5000  0.01
Ir: 0.0000 0.0000 0.0000  -0.02
Se: 0.5000 0.5000 0.5000  0.00
N: 0.0000 0.5000 0.0000  0.15
N: 0.5000 0.0000 0.0000  0.15

Results
energy relative to the elements, uncorrected: 0.946 eV per atom
energy above the lowest structure with this stoichiometry: 0.0502 eV/atom